FeHgN2O: optimized geometry, PBE+U.

Geometry as extended XYZ:
```
5
Lattice="-3.474 0.924 1.670 -1.138 -3.787 -0.271 1.478 -0.692 3.458" Properties=species:S:1:pos:R:3 pbc="T T T"
N -0.569 -1.894 -0.136
Hg -1.567 -1.777 2.428
O 0.739 -0.346 1.729
Fe 0.000 0.000 0.000
N -1.737 0.462 0.835
```

As for the raw total energy: -22.3 eV for the cell shown. The space group is No. 123.



FeHgN2O: optimized geometry, PBE+U.

Geometry as extended XYZ:
```
5
Lattice="-0.756 -3.380 -2.357 0.156 -2.418 3.418 -4.174 0.536 0.570" Properties=species:S:1:pos:R:3 pbc="T T T"
N -0.378 -1.690 -1.178
N 0.078 -1.209 1.709
Fe -2.387 -2.631 0.815
O -2.087 0.268 0.285
Hg 0.000 0.000 0.000
```

As for the raw total energy: -17.6 eV for the cell shown. The space group is No. 123.



Ordered DOS at the Fermi energy results: 3.375; 2.312; unit states/eV/f.u..